VASP calculation (GGA-PBE) on a relaxed structure of LiGdLuHg.

Output
The density of states at the Fermi level comes out at 1.09 states/eV per atom. The value obtained for the total magnetization is 7.5 μB/f.u. The calculation puts the energy of formation from the pure elements at -212 meV/atom. As for the raw total energy: -5.417 eV per atom.

Cell lengths 7.3563, 7.3563, 7.3563 Å; angles 90.00, 90.00, 90.00 degrees
Last column: nearest neighbours and their distance in Å.
Space group F-43m (No. 216)
Symmetry-distinct sites (fractional):
Li: 0.0000 0.0000 0.0000 [4 per cell]  4 Gd 3.19, 4 Lu 3.19
Gd: 0.2500 0.2500 0.2500 [4 per cell]  4 Hg 3.19, 4 Li 3.19
Lu: 0.2500 0.2500 0.7500 [4 per cell]  4 Hg 3.19, 4 Li 3.19
Hg: 0.0000 0.0000 0.5000 [4 per cell]  4 Lu 3.19, 4 Gd 3.19

---

VASP calculation (GGA-PBE) on a relaxed structure of LiGdMgHg.

Output
The density of states at the Fermi level comes out at 0.90 states/eV per atom. The value obtained for the total magnetization is 7.4 μB/f.u. The calculation puts the energy of formation from the pure elements at -224 meV/atom. As for the raw total energy: -4.697 eV per atom.

Cell lengths 7.1888, 7.1888, 7.1888 Å; angles 90.00, 90.00, 90.00 degrees
Last column: nearest neighbours and their distance in Å.
Space group F-43m (No. 216)
Symmetry-distinct sites (fractional):
Li: 0.0000 0.0000 0.0000 [4 per cell]  4 Hg 3.11, 4 Mg 3.11
Gd: 0.0000 0.0000 0.5000 [4 per cell]  4 Hg 3.11, 4 Mg 3.11
Mg: 0.2500 0.2500 0.2500 [4 per cell]  4 Gd 3.11, 4 Li 3.11
Hg: 0.2500 0.2500 0.7500 [4 per cell]  4 Gd 3.11, 4 Li 3.11

---

VASP calculation (GGA-PBE) on a relaxed structure of LiNdGdHg.

Output
The density of states at the Fermi level comes out at 1.14 states/eV per atom. The value obtained for the total magnetization is 7.9 μB/f.u. The calculation puts the energy of formation from the pure elements at -225 meV/atom. As for the raw total energy: -5.491 eV per atom.

Cell lengths 7.5343, 7.5343, 7.5343 Å; angles 90.00, 90.00, 90.00 degrees
Last column: nearest neighbours and their distance in Å.
Space group F-43m (No. 216)
Symmetry-distinct sites (fractional):
Li: 0.0000 0.0000 0.0000 [4 per cell]  4 Gd 3.26, 4 Nd 3.26
Nd: 0.2500 0.2500 0.7500 [4 per cell]  4 Li 3.26, 4 Hg 3.26
Gd: 0.2500 0.2500 0.2500 [4 per cell]  4 Hg 3.26, 4 Li 3.26
Hg: 0.0000 0.0000 0.5000 [4 per cell]  4 Nd 3.26, 4 Gd 3.26

---

VASP calculation (GGA-PBE) on a relaxed structure of LiGdNiHg.

Output
The density of states at the Fermi level comes out at 1.23 states/eV per atom. The value obtained for the total magnetization is 7.8 μB/f.u. The calculation puts the energy of formation from the pure elements at -235 meV/atom. As for the raw total energy: -5.754 eV per atom.

Cell lengths 6.6575, 6.6575, 6.6575 Å; angles 90.00, 90.00, 90.00 degrees
Last column: nearest neighbours and their distance in Å.
Space group F-43m (No. 216)
Symmetry-distinct sites (fractional):
Li: 0.0000 0.0000 0.0000 [4 per cell]  4 Hg 2.88, 4 Gd 2.88
Gd: 0.2500 0.2500 0.2500 [4 per cell]  4 Li 2.88, 4 Ni 2.88
Ni: 0.0000 0.0000 0.5000 [4 per cell]  4 Gd 2.88, 4 Hg 2.88
Hg: 0.2500 0.2500 0.7500 [4 per cell]  4 Li 2.88, 4 Ni 2.88

---

VASP calculation (GGA-PBE) on a relaxed structure of LiTbGdHg.

Output
The density of states at the Fermi level comes out at 1.18 states/eV per atom. The value obtained for the total magnetization is 7.8 μB/f.u. The calculation puts the energy of formation from the pure elements at -223 meV/atom. As for the raw total energy: -5.455 eV per atom.

Cell lengths 7.4317, 7.4317, 7.4317 Å; angles 90.00, 90.00, 90.00 degrees
Last column: nearest neighbours and their distance in Å.
Space group F-43m (No. 216)
Symmetry-distinct sites (fractional):
Li: 0.0000 0.0000 0.0000 [4 per cell]  4 Gd 3.22, 4 Tb 3.22
Tb: 0.2500 0.2500 0.2500 [4 per cell]  4 Li 3.22, 4 Hg 3.22
Gd: 0.2500 0.2500 0.7500 [4 per cell]  4 Hg 3.22, 4 Li 3.22
Hg: 0.0000 0.0000 0.5000 [4 per cell]  4 Tb 3.22, 4 Gd 3.22

---

VASP calculation (GGA-PBE) on a relaxed structure of LiGdThHg.

Output
The density of states at the Fermi level comes out at 0.82 states/eV per atom. The value obtained for the total magnetization is 8.1 μB/f.u. The calculation puts the energy of formation from the pure elements at -78 meV/atom. As for the raw total energy: -6.007 eV per atom.

Cell lengths 7.5140, 7.5140, 7.5140 Å; angles 90.00, 90.00, 90.00 degrees
Last column: nearest neighbours and their distance in Å.
Space group F-43m (No. 216)
Symmetry-distinct sites (fractional):
Li: 0.0000 0.0000 0.0000 [4 per cell]  4 Gd 3.25, 4 Th 3.25
Gd: 0.2500 0.2500 0.2500 [4 per cell]  4 Hg 3.25, 4 Li 3.25
Th: 0.2500 0.2500 0.7500 [4 per cell]  4 Hg 3.25, 4 Li 3.25
Hg: 0.0000 0.0000 0.5000 [4 per cell]  4 Th 3.25, 4 Gd 3.25